1.
IrBrCl2 | SCAN | PBEsol geometry

Cell lengths 7.9966, 7.9966, 5.2834 Å; angles 90.00, 90.00, 90.00 degrees
Space group I-42d (No. 122)
Unique sites:
Ir 0.0000 0.0000 0.0000
Br 0.0000 0.0000 0.5000
Cl 0.1282 0.7500 0.1250

Values from the calculation:
raw total energy = -26.532 eV per atom
raw formation energy = 0.10 eV per atom
energy relative to the lowest polymorph listed for this composition = 0.0 meV per atom

2.
TaTiAsSe2 | SCAN | PBEsol geometry

Cell lengths 4.7395, 4.7395, 4.7996 Å; angles 90.00, 90.00, 90.00 degrees
Space group P4/mmm (No. 123)
Unique sites:
Ta 0.0000 0.0000 0.0000
Ti 0.5000 0.5000 0.5000
As 0.5000 0.5000 0.0000
Se 0.0000 0.5000 0.5000

Values from the calculation:
raw total energy = -28.103 eV per atom
raw formation energy = 0.49 eV per atom
energy relative to the lowest polymorph listed for this composition = 356.4 meV per atom

3.
YAlPtF2 | SCAN | PBEsol geometry

Cell lengths 4.4012, 4.4012, 4.7877 Å; angles 90.00, 90.00, 90.00 degrees
Space group P4/mmm (No. 123)
Unique sites:
Y 0.0000 0.0000 0.0000
Al 0.5000 0.5000 0.0000
Pt 0.5000 0.5000 0.5000
F 0.0000 0.5000 0.5000

Values from the calculation:
raw total energy = -23.339 eV per atom
raw formation energy = -0.77 eV per atom

4.
CrNi2Ru | SCAN | PBEsol geometry

Cell lengths 2.9426, 2.9426, 5.2628 Å; angles 90.00, 90.00, 90.00 degrees
Space group P4mm (No. 99)
Unique sites:
Cr 0.0000 0.0000 0.0000
Ni 0.0000 0.0000 0.4580
Ni 0.5000 0.5000 0.2390
Ru 0.5000 0.5000 0.7405

Values from the calculation:
raw total energy = -21.290 eV per atom
energy of formation = 0.10 eV per atom

Number 3 is which compound?
YAlPtF2

The highest raw total energy belongs to which entry?
CrNi2Ru

The highest raw total energy belongs to which entry?
CrNi2Ru

What is the formula in the second record?
TaTiAsSe2